Record 1
ZnGa2Te2: relaxed, GGA-PBE.

Cell and atoms, written as POSCAR:
```
ZnGa2Te2
1.0
-2.484 2.484 6.665
2.484 -2.484 6.665
2.484 2.484 -6.665
Zn Ga Te
1 2 2
direct
0.000 0.000 0.000 Zn
0.250 0.750 0.500 Ga
0.750 0.250 0.500 Ga
0.351 0.351 0.000 Te
0.649 0.649 0.000 Te
```

Record 2
ZnGa2Te4: relaxed, GGA-PBE.

Cell and atoms, written as POSCAR:
```
ZnGa2Te4
1.0
6.000 0.000 0.000
0.000 6.000 0.000
0.000 0.000 6.092
Zn Ga Te
1 2 4
direct
0.000 0.000 0.000 Zn
0.000 0.500 0.500 Ga
0.500 0.000 0.500 Ga
0.268 0.268 0.232 Te
0.268 0.732 0.768 Te
0.732 0.268 0.768 Te
0.732 0.732 0.232 Te
```

Which E_tot belongs to each record? In order, -2.668; -3.216 eV/atom.
Which formation energy from raw total energies belongs to each record? In order, 0.055; -0.374 eV/atom.
Which relative energy among the computed polymorphs belongs to each record? In order, 0.0481; 0.0079 eV per atom.